Record 1
Computed, not measured: HfTi5C5 after structural relaxation at the GGA-PBE level of DFT.

Cell: 9.8391 4.4044 6.2361 Å, 90.00 108.48 90.00°
Space group C2/m (No. 12)
Unique sites:
Hf 0.0000 0.0000 0.0000
Ti 0.0000 0.0000 0.5000
Ti 0.1715 0.5000 0.8463
Ti 0.1768 0.5000 0.3306
C 0.0000 0.5000 0.0000
C 0.1696 0.0000 0.8277
C 0.1707 0.0000 0.3432

Energy relative to the elements ... -0.774 eV per atom
Density of states at the Fermi level ... 0.39 states/eV/atom
Calculated total energy ... -9.46 eV/atom

=====

Record 2
Computed, not measured: Hf2Ti2C3 after structural relaxation at the GGA-PBE level of DFT.

Cell: 10.7322 3.2315 5.4466 Å, 90.00 103.43 90.00°
Space group C2/m (No. 12)
Unique sites:
Hf 0.1198 0.0000 0.3680
Ti 0.1419 0.5000 0.8560
C 0.0000 0.5000 0.5000
C 0.2501 0.0000 0.7597

Energy relative to the elements ... -0.835 eV per atom
Density of states at the Fermi level ... 0.37 states/eV/atom
Calculated total energy ... -9.89 eV/atom